Sr7Hg3N2 after structural relaxation. Source: Alexandria via LeMat-Bulk, functional GGA-PBE.

```
Sr7Hg3N2
1.0
2.650 -13.164 0.000
2.650 13.164 0.000
0.000 0.000 5.188
Sr Hg N
7 3 2
Cartesian
0.000 0.000 0.000
2.650 10.549 2.594
2.650 7.943 0.000
2.650 2.668 0.000
2.650 -2.668 0.000
2.650 -7.943 0.000
2.650 -10.549 2.594
2.650 5.298 2.594
2.650 0.000 2.594
2.650 -5.298 2.594
2.650 10.439 0.000
2.650 -10.439 0.000
```

Output
- Space group: No. 65
- Raw formation energy: -5.87 eV per formula unit
- Mass density: 5.70 g cm⁻³
- N(E_F): 9.3 states/eV per cell